## PmLuCoPd (PBE)

Data for a geometry-optimized PmLuCoPd structure.

Structure (POSCAR):
```
PmLuCoPd
1.0
0.0000 3.4418 3.4418
3.4418 0.0000 3.4418
3.4418 3.4418 0.0000
Pm Lu Co Pd
1 1 1 1
Cartesian
0.0000 0.0000 0.0000 Pm
3.4418 3.4418 3.4418 Lu
1.7209 1.7209 1.7209 Co
5.1627 5.1627 5.1627 Pd
```

Output
- size of the total moment (μB/atom) = 0.05
- calculated volume (Å³ per cell) = 81.54
- raw total energy (eV per atom) = -5.841